Record 1
Compound: Rb3Fe5O12
Source: Alexandria via LeMat-Bulk
Functional: PBE with a Hubbard U
Structure: relaxed

Summary:
Calculated volume in Å³/cell: 1155.89
Symmetry: Ia-3d
ρ in g/cm3: 4.2
E_tot in eV per atom: -5.4900
Magnetic moment in μB per formula unit: 19.0

Cell lengths 11.451, 11.451, 11.451 Å; angles 109.47, 109.47, 109.47 degrees
Fractional positions:
Rb 0.125 0.250 0.375
Rb 0.125 0.375 0.750
Rb 0.250 0.375 0.125
Rb 0.250 0.875 0.625
Rb 0.375 0.125 0.250
Rb 0.375 0.750 0.125
Rb 0.625 0.250 0.875
Rb 0.625 0.875 0.750
Rb 0.750 0.125 0.375
Rb 0.750 0.625 0.875
Rb 0.875 0.625 0.250
Rb 0.875 0.750 0.625
Fe 0.000 0.000 0.000
Fe 0.000 0.000 0.500
Fe 0.000 0.500 0.000
Fe 0.000 0.500 0.500
Fe 0.125 0.750 0.875
Fe 0.125 0.875 0.250
Fe 0.250 0.125 0.875
Fe 0.250 0.625 0.375
Fe 0.375 0.250 0.625
Fe 0.375 0.625 0.750
Fe 0.500 0.000 0.000
Fe 0.500 0.000 0.500
Fe 0.500 0.500 0.000
Fe 0.500 0.500 0.500
Fe 0.625 0.375 0.250
Fe 0.625 0.750 0.375
Fe 0.750 0.375 0.625
Fe 0.750 0.875 0.125
Fe 0.875 0.125 0.750
Fe 0.875 0.250 0.125
O 0.010 0.684 0.108
O 0.010 0.825 0.901
O 0.076 0.675 0.684
O 0.076 0.901 0.392
O 0.099 0.608 0.924
O 0.099 0.990 0.175
O 0.108 0.010 0.684
O 0.108 0.599 0.424
O 0.175 0.099 0.990
O 0.175 0.576 0.184
O 0.184 0.175 0.576
O 0.184 0.510 0.608
O 0.316 0.892 0.990
O 0.316 0.924 0.325
O 0.325 0.316 0.924
O 0.325 0.510 0.401
O 0.392 0.076 0.901
O 0.392 0.816 0.490
O 0.401 0.325 0.510
O 0.401 0.576 0.892
O 0.424 0.108 0.599
O 0.424 0.816 0.825
O 0.490 0.392 0.816
O 0.490 0.599 0.675
O 0.510 0.401 0.325
O 0.510 0.608 0.184
O 0.576 0.184 0.175
O 0.576 0.892 0.401
O 0.599 0.424 0.108
O 0.599 0.675 0.490
O 0.608 0.184 0.510
O 0.608 0.924 0.099
O 0.675 0.490 0.599
O 0.675 0.684 0.076
O 0.684 0.076 0.675
O 0.684 0.108 0.010
O 0.816 0.490 0.392
O 0.816 0.825 0.424
O 0.825 0.424 0.816
O 0.825 0.901 0.010
O 0.892 0.401 0.576
O 0.892 0.990 0.316
O 0.901 0.010 0.825
O 0.901 0.392 0.076
O 0.924 0.099 0.608
O 0.924 0.325 0.316
O 0.990 0.175 0.099
O 0.990 0.316 0.892

=====

Record 2
Compound: Rb5FeO4
Source: Alexandria via LeMat-Bulk
Functional: PBE with a Hubbard U
Structure: relaxed

Summary:
Calculated volume in Å³/cell: 466.97
Symmetry: Pmn2_1
ρ in g/cm3: 3.9
E_tot in eV per atom: -4.2656
Magnetic moment in μB per formula unit: 5.0

Cell lengths 8.749, 7.427, 7.186 Å; angles 90.00, 90.00, 90.00 degrees
Fractional positions:
Rb 0.000 0.245 0.000
Rb 0.188 0.948 0.671
Rb 0.217 0.377 0.492
Rb 0.283 0.623 0.992
Rb 0.312 0.052 0.171
Rb 0.500 0.755 0.500
Rb 0.688 0.052 0.171
Rb 0.717 0.623 0.992
Rb 0.783 0.377 0.492
Rb 0.812 0.948 0.671
Fe 0.000 0.833 0.267
Fe 0.500 0.167 0.767
O 0.000 0.085 0.360
O 0.000 0.852 0.998
O 0.190 0.723 0.348
O 0.310 0.277 0.848
O 0.500 0.148 0.498
O 0.500 0.915 0.860
O 0.690 0.277 0.848
O 0.810 0.723 0.348